The following is a DFT calculation (GGA-PBE) of crystalline In2MoIBr at its relaxed geometry.

Output
V: 30.4 Å³/atom
symmetry: P4/mmm (123)
formation energy (no corrections): 0.18 eV/atom
total moment: 0.6 μB/f.u.
electronic total energy: -18.7 eV per cell

Unit cell a=5.6155 b=5.6155 c=4.8220 alpha=90.00 beta=90.00 gamma=90.00
Element x y z (fractional)
In 0.0000 0.5000 0.0000
In 0.5000 0.0000 0.0000
Mo 0.0000 0.0000 0.0000
I 0.5000 0.5000 0.5000
Br 0.0000 0.0000 0.5000

---

The following is a DFT calculation (GGA-PBE) of crystalline InIBrN2 at its relaxed geometry.

Output
V: 27.4 Å³/atom
symmetry: P4/mmm (123)
formation energy (no corrections): 1.43 eV/atom
energy above the lowest structure with this stoichiometry: 0 meV/atom
total moment: 3.7 μB/f.u.
electronic total energy: -15.5 eV per cell

Unit cell a=4.5790 b=4.5790 c=6.5297 alpha=90.00 beta=90.00 gamma=90.00
Element x y z (fractional)
In 0.0000 0.0000 0.0000
I 0.0000 0.0000 0.5000
Br 0.5000 0.5000 0.5000
N 0.0000 0.5000 0.0000
N 0.5000 0.0000 0.0000

---

The following is a DFT calculation (GGA-PBE) of crystalline InI2BrN at its relaxed geometry.

Output
V: 32.0 Å³/atom
symmetry: P4/mmm (123)
formation energy (no corrections): 0.70 eV/atom
energy above the lowest structure with this stoichiometry: 0 meV/atom
total moment: 2.9 μB/f.u.
electronic total energy: -12.4 eV per cell

Unit cell a=6.1689 b=6.1689 c=4.2079 alpha=90.00 beta=90.00 gamma=90.00
Element x y z (fractional)
In 0.0000 0.0000 0.0000
I 0.0000 0.5000 0.0000
I 0.5000 0.0000 0.0000
Br 0.5000 0.5000 0.5000
N 0.0000 0.0000 0.5000

---

The following is a DFT calculation (GGA-PBE) of crystalline InI2BrN at its relaxed geometry.

Output
V: 40.0 Å³/atom
symmetry: P4/mmm (123)
formation energy (no corrections): 0.85 eV/atom
energy above the lowest structure with this stoichiometry: 157 meV/atom
total moment: 0.0 μB/f.u.
electronic total energy: -11.6 eV per cell

Unit cell a=7.3343 b=7.3343 c=3.7153 alpha=90.00 beta=90.00 gamma=90.00
Element x y z (fractional)
In 0.0000 0.0000 0.0000
I 0.0000 0.5000 0.5000
I 0.5000 0.0000 0.5000
Br 0.5000 0.5000 0.5000
N 0.5000 0.5000 0.0000

---

The following is a DFT calculation (GGA-PBE) of crystalline InIBrN2 at its relaxed geometry.

Output
V: 30.2 Å³/atom
symmetry: P4/mmm (123)
formation energy (no corrections): 1.79 eV/atom
energy above the lowest structure with this stoichiometry: 364 meV/atom
total moment: 4.0 μB/f.u.
electronic total energy: -13.7 eV per cell

Unit cell a=4.5337 b=4.5337 c=7.3369 alpha=90.00 beta=90.00 gamma=90.00
Element x y z (fractional)
In 0.0000 0.0000 0.0000
I 0.5000 0.5000 0.0000
Br 0.5000 0.5000 0.5000
N 0.0000 0.5000 0.5000
N 0.5000 0.0000 0.5000

---

The following is a DFT calculation (GGA-PBE) of crystalline NbIn2IBr at its relaxed geometry.

Output
V: 33.2 Å³/atom
symmetry: P4/mmm (123)
formation energy (no corrections): 0.09 eV/atom
total moment: 1.9 μB/f.u.
electronic total energy: -18.3 eV per cell

Unit cell a=5.7732 b=5.7732 c=4.9865 alpha=90.00 beta=90.00 gamma=90.00
Element x y z (fractional)
Nb 0.0000 0.0000 0.0000
In 0.0000 0.5000 0.0000
In 0.5000 0.0000 0.0000
I 0.5000 0.5000 0.5000
Br 0.0000 0.0000 0.5000